(1)
Compound: YCoSb3
Source: Alexandria
Functional: GGA-PBEsol
Structure: relaxed

POSCAR file:
```
YCoSb3
1.0
-1.946 -4.014 2.129
3.740 -0.099 3.231
-2.581 2.883 3.076
Sb Co Y
3 1 1
direct
0.000 0.000 0.500 Sb
0.000 0.500 0.000 Sb
0.500 0.000 0.000 Sb
0.000 0.000 0.000 Co
0.500 0.500 0.500 Y
```

Output
Total energy: -5.67 eV/atom
SG: Pm-3m (221)

(2)
Compound: Cr3W
Source: Alexandria
Functional: GGA-PBEsol
Structure: relaxed

POSCAR file:
```
Cr3W
1.0
-0.736 -2.068 1.324
3.264 -2.037 -1.367
2.751 2.192 3.302
W Cr
1 3
direct
0.000 0.500 0.500 W
0.753 0.000 0.762 Cr
0.247 0.000 0.238 Cr
0.500 0.500 0.000 Cr
```

Output
ΔE_f: 0.10 eV/atom
Total energy: -11.03 eV/atom
SG: P2/m (10)

(3)
Compound: BaLaMnAg2
Source: Alexandria
Functional: GGA-PBEsol
Structure: relaxed

POSCAR file:
```
BaLaMnAg2
1.0
-0.640 4.906 1.537
1.144 -1.507 5.287
5.453 0.993 -0.898
La Ag Mn Ba
1 2 1 1
direct
0.000 0.000 0.000 La
0.000 0.500 0.000 Ag
0.000 0.000 0.500 Ag
0.500 0.000 0.000 Mn
0.500 0.500 0.500 Ba
```

Output
ΔE_f: 0.67 eV/atom
Total energy: -4.11 eV/atom
Energy above the most stable polymorph in this dataset: 425 meV/atom
SG: P4/mmm (123)

(4)
Compound: CaTl3C
Source: Alexandria
Functional: GGA-PBEsol
Structure: relaxed

POSCAR file:
```
CaTl3C
1.0
-4.684 1.030 -1.375
-1.599 -1.153 4.583
0.628 4.744 1.412
Tl Ca C
3 1 1
direct
0.500 0.000 0.000 Tl
0.000 0.000 0.500 Tl
0.000 0.500 0.000 Tl
0.500 0.500 0.500 Ca
0.000 0.000 0.000 C
```

Output
ΔE_f: 0.74 eV/atom
Total energy: -3.20 eV/atom
SG: Pm-3m (221)

Q: Among the records above, which one has the highest total energy?
A: CaTl3C

Q: What is the total energy in the third record?
A: -4.11 eV/atom

Q: Among the records above, which one has the lowest total energy?
A: Cr3W

Q: total energy of number 4 (CaTl3C)?
A: -3.20 eV/atom